Record 1
Computed, not measured: a relaxed structure of Ti3Ru at the PBE-GGA level of DFT.

The total moment is 0.00 Bohr magnetons per cell. The value obtained for the energy of formation from the pure elements is -0.212 eV per atom.

The structure in CIF format:
```
data_Ti3Ru
_chemical_formula_sum 'Ti6 Ru2'
_cell_length_a 3.645
_cell_length_b 3.645
_cell_length_c 9.483
_cell_angle_alpha 90.00
_cell_angle_beta 90.00
_cell_angle_gamma 90.00
_space_group_name_H-M_alt 'I 4/m m m'
_space_group_IT_number 139
_space_group_name_Hall '-I 4 2'
loop_
_atom_site_label
_atom_site_type_symbol
_atom_site_fract_x
_atom_site_fract_y
_atom_site_fract_z
Ti1 Ti 0.000 0.000 0.000
Ti2 Ti 0.000 0.500 0.250
Ru1 Ru 0.000 0.000 0.500
```

Record 2
Computed, not measured: a relaxed structure of PaTcGePd at the PBE-GGA level of DFT.

The total moment is 0.00 Bohr magnetons per cell. The value obtained for the energy of formation from the pure elements is -0.230 eV per atom.

The structure in CIF format:
```
data_PaTcGePd
_chemical_formula_sum 'Pa4 Tc4 Ge4 Pd4'
_cell_length_a 6.639
_cell_length_b 6.639
_cell_length_c 6.639
_cell_angle_alpha 90.00
_cell_angle_beta 90.00
_cell_angle_gamma 90.00
_space_group_name_H-M_alt 'F -4 3 m'
_space_group_IT_number 216
_space_group_name_Hall 'F -4 2 3'
loop_
_atom_site_label
_atom_site_type_symbol
_atom_site_fract_x
_atom_site_fract_y
_atom_site_fract_z
Pa1 Pa 0.000 0.000 0.000
Tc1 Tc 0.250 0.250 0.250
Ge1 Ge 0.000 0.000 0.500
Pd1 Pd 0.250 0.250 0.750
```

Calculated DOS(E_F), 4.67, 5.29 states/eV/f.u. (same order as the records).